(1)
The following is a DFT calculation (GGA-PBE) of crystalline SrHIr2 at its relaxed geometry.

Cell: 4.582 4.582 4.582 Å, 60.00 60.00 60.00°
Atoms (fractional coordinates):
Sr 0.000 0.000 0.000
H 0.500 0.500 0.500
Ir 0.250 0.250 0.250
Ir 0.750 0.750 0.750

Density of states at the Fermi level ... 1.0586 states/eV/atom
ΔE to the lowest computed polymorph ... 1490.8 meV per atom
Crystal system ... cubic



(2)
The following is a DFT calculation (GGA-PBE) of crystalline TbEr2Sc2 at its relaxed geometry.

Cell: 13.931 6.887 5.969 Å, 90.00 98.10 90.00°
Atoms (fractional coordinates):
Tb 0.197 0.123 0.150
Tb 0.197 0.377 0.650
Tb 0.803 0.623 0.350
Tb 0.803 0.877 0.850
Er 0.197 0.627 0.145
Er 0.197 0.873 0.645
Er 0.402 0.124 0.881
Er 0.402 0.376 0.381
Er 0.598 0.624 0.619
Er 0.598 0.876 0.119
Er 0.803 0.127 0.355
Er 0.803 0.373 0.855
Sc 0.000 0.125 0.750
Sc 0.000 0.375 0.250
Sc 0.000 0.625 0.750
Sc 0.000 0.875 0.250
Sc 0.401 0.626 0.885
Sc 0.401 0.874 0.385
Sc 0.599 0.126 0.615
Sc 0.599 0.374 0.115

Density of states at the Fermi level ... 1.5435 states/eV/atom
Energy of formation ... 45.2 meV/atom
ΔE to the lowest computed polymorph ... 0.0 meV per atom
Crystal system ... monoclinic